No. 1
A relaxed HgBiN2F crystal. Source: Alexandria via LeMat-Bulk, functional GGA-PBEsol.

The magnetic moment comes out at 0.88 Bohr magnetons per cell. The value obtained for the formation energy from raw total energies is 0.750 eV/atom. The total energy is -20.081 eV for the cell shown.

It has space group P4/mmm (No. 123), with a = 4.3507 Å, b = 4.3507 Å, c = 4.3317 Å, α = 90.00°, β = 90.00° and γ = 90.00°. The asymmetric unit holds Hg at (0.0000, 0.0000, 0.0000), Bi at (0.5000, 0.5000, 0.5000), N at (0.0000, 0.5000, 0.5000) and F at (0.5000, 0.5000, 0.0000).

No. 2
A relaxed ZnOs crystal. Source: Alexandria via LeMat-Bulk, functional GGA-PBEsol.

The formation energy from the elements is 17.9 kJ per mole of atoms. The magnetic moment comes out at 0.00 Bohr magnetons per cell. The total energy is -26.854 eV for the cell shown.

It has space group Pmmn (No. 59, origin choice 2), with a = 2.7419 Å, b = 4.3367 Å, c = 4.5976 Å, α = 90.00°, β = 90.00° and γ = 90.00°. The asymmetric unit holds Zn at (0.2500, 0.2500, 0.0734) and Os at (0.2500, 0.7500, 0.4184).

> What is the magnetic moment in the second record?

0.00 Bohr magnetons per cell

> Number 1 is which compound?

HgBiN2F

> Among the records above, which one has the lowest magnetic moment?

ZnOs